# YCr2Rh SCAN PBEsol geometry
data_YCr2Rh
_symmetry_space_group_name_H-M 'P 1'
_symmetry_Int_Tables_number 1
_symmetry_space_group_name_Hall 'P 1'
_cell_length_a 2.9805
_cell_length_b 2.9805
_cell_length_c 6.8518
_cell_angle_alpha 90.00
_cell_angle_beta 90.00
_cell_angle_gamma 90.00
loop_
_atom_site_label
_atom_site_type_symbol
_atom_site_fract_x
_atom_site_fract_y
_atom_site_fract_z
Cr1 Cr 0.0000 0.0000 0.0684
Cr2 Cr 0.5000 0.5000 0.2245
Rh1 Rh 0.0000 0.0000 0.4555
Y1 Y 0.5000 0.5000 0.7516
# Calculated total energy, eV/cell: -98.32
# Excess energy over the best structure of this formula in the dataset, meV per atom: 200
# N(E_F), states/eV per cell: 3.10